# 1
# PBE-GGA SrSmZrTiO6, optimized geometry
# E_form (uncorrected)	-3.044	eV/atom
# theoretical density	5.9	g/cm³
data_SrSmZrTiO6
_cell_length_a 8.107
_cell_length_b 8.107
_cell_length_c 8.107
_cell_angle_alpha 90.00
_cell_angle_beta 90.00
_cell_angle_gamma 90.00
_symmetry_space_group_name_H-M 'F -4 3 m'
_symmetry_Int_Tables_number 216
_symmetry_space_group_name_Hall 'F -4 2 3'
loop_
_atom_site_label
_atom_site_type_symbol
_atom_site_fract_x
_atom_site_fract_y
_atom_site_fract_z
Sr1 Sr 0.000 0.000 0.000
Sm1 Sm 0.000 0.000 0.500
Zr1 Zr 0.250 0.250 0.250
Ti1 Ti 0.250 0.250 0.750
O1 O 0.007 0.250 0.750

# 2
# PBE-GGA LiCo2Ir, optimized geometry
# energy of formation from the pure elements	0.124	eV/atom
# theoretical density	11.4	g/cm³
data_LiCo2Ir
_cell_length_a 3.589
_cell_length_b 3.589
_cell_length_c 7.188
_cell_angle_alpha 90.00
_cell_angle_beta 90.00
_cell_angle_gamma 90.00
_symmetry_space_group_name_H-M 'I -4 m 2'
_symmetry_Int_Tables_number 119
_symmetry_space_group_name_Hall 'I -4 -2'
loop_
_atom_site_label
_atom_site_type_symbol
_atom_site_fract_x
_atom_site_fract_y
_atom_site_fract_z
Li1 Li 0.000 0.000 0.000
Co1 Co 0.000 0.000 0.500
Co2 Co 0.000 0.500 0.750
Ir1 Ir 0.000 0.500 0.250

# 3
# PBE-GGA ZnP2Rh, optimized geometry
# energy of formation from the pure elements	0.125	eV/atom
# theoretical density	6.7	g/cm³
data_ZnP2Rh
_cell_length_a 4.038
_cell_length_b 4.038
_cell_length_c 3.503
_cell_angle_alpha 90.00
_cell_angle_beta 90.00
_cell_angle_gamma 90.00
_symmetry_space_group_name_H-M 'P 4/m m m'
_symmetry_Int_Tables_number 123
_symmetry_space_group_name_Hall '-P 4 2'
loop_
_atom_site_label
_atom_site_type_symbol
_atom_site_fract_x
_atom_site_fract_y
_atom_site_fract_z
Zn1 Zn 0.000 0.000 0.000
P1 P 0.000 0.500 0.500
Rh1 Rh 0.500 0.500 0.000

# 4
# PBE-GGA AcPmSb2O8, optimized geometry
# E_form (uncorrected)	-2.230	eV/atom
# theoretical density	6.0	g/cm³
data_AcPmSb2O8
_cell_length_a 7.667
_cell_length_b 7.667
_cell_length_c 7.000
_cell_angle_alpha 90.00
_cell_angle_beta 90.00
_cell_angle_gamma 90.00
_symmetry_space_group_name_H-M 'I -4 m 2'
_symmetry_Int_Tables_number 119
_symmetry_space_group_name_Hall 'I -4 -2'
loop_
_atom_site_label
_atom_site_type_symbol
_atom_site_fract_x
_atom_site_fract_y
_atom_site_fract_z
Ac1 Ac 0.000 0.000 0.000
Pm1 Pm 0.000 0.500 0.750
Sb1 Sb 0.000 0.000 0.500
Sb2 Sb 0.000 0.500 0.250
O1 O 0.000 0.189 0.678
O2 O 0.000 0.321 0.062

# 5
# PBE-GGA K3Fe, optimized geometry
# relative energy among the computed polymorphs	51.3	meV/atom
# energy of formation from the pure elements	0.805	eV/atom
# theoretical density	1.6	g/cm³
data_K3Fe
_cell_length_a 6.398
_cell_length_b 6.398
_cell_length_c 8.966
_cell_angle_alpha 90.00
_cell_angle_beta 90.00
_cell_angle_gamma 90.00
_symmetry_space_group_name_H-M 'I 4/m m m'
_symmetry_Int_Tables_number 139
_symmetry_space_group_name_Hall '-I 4 2'
loop_
_atom_site_label
_atom_site_type_symbol
_atom_site_fract_x
_atom_site_fract_y
_atom_site_fract_z
K1 K 0.000 0.000 0.000
K2 K 0.000 0.500 0.250
Fe1 Fe 0.000 0.000 0.500

# 6
# PBE-GGA Pr5ThIn4, optimized geometry
# energy of formation from the pure elements	-0.386	eV/atom
# theoretical density	7.6	g/cm³
data_Pr5ThIn4
_cell_length_a 3.656
_cell_length_b 3.656
_cell_length_c 22.678
_cell_angle_alpha 90.00
_cell_angle_beta 90.00
_cell_angle_gamma 90.00
_symmetry_space_group_name_H-M 'P 4/m m m'
_symmetry_Int_Tables_number 123
_symmetry_space_group_name_Hall '-P 4 2'
loop_
_atom_site_label
_atom_site_type_symbol
_atom_site_fract_x
_atom_site_fract_y
_atom_site_fract_z
Pr1 Pr 0.000 0.000 0.000
Pr2 Pr 0.000 0.000 0.195
Pr3 Pr 0.000 0.000 0.391
Th1 Th 0.500 0.500 0.500
In1 In 0.500 0.500 0.098
In2 In 0.500 0.500 0.293

# 7
# PBE-GGA Tm6MgIn, optimized geometry
# relative energy among the computed polymorphs	64.9	meV/atom
# energy of formation from the pure elements	-0.050	eV/atom
# theoretical density	8.5	g/cm³
data_Tm6MgIn
_cell_length_a 8.6796
_cell_length_b 8.6796
_cell_length_c 10.4007
_cell_angle_alpha 90.00
_cell_angle_beta 90.00
_cell_angle_gamma 120.00
_symmetry_space_group_name_H-M 'R -3'
_symmetry_Int_Tables_number 148
_symmetry_space_group_name_Hall '-R 3'
loop_
_atom_site_label
_atom_site_type_symbol
_atom_site_fract_x
_atom_site_fract_y
_atom_site_fract_z
Tm1 Tm 0.0111 0.7605 0.2358
Mg1 Mg 0.0000 0.0000 0.5000
In1 In 0.0000 0.0000 0.0000

# 8
# PBE-GGA Y2Co15Ni2, optimized geometry
# energy of formation from the pure elements	-0.098	eV/atom
# theoretical density	8.1	g/cm³
data_Y2Co15Ni2
_cell_length_a 8.3278
_cell_length_b 8.3278
_cell_length_c 12.0553
_cell_angle_alpha 90.00
_cell_angle_beta 90.00
_cell_angle_gamma 120.00
_symmetry_space_group_name_H-M 'R -3 m'
_symmetry_Int_Tables_number 166
_symmetry_space_group_name_Hall '-R 3 2"'
loop_
_atom_site_label
_atom_site_type_symbol
_atom_site_fract_x
_atom_site_fract_y
_atom_site_fract_z
Y1 Y 0.0000 0.0000 0.1581
Co1 Co 0.0000 0.2862 0.5000
Co2 Co 0.0000 0.5000 0.0000
Co3 Co 0.0009 0.5004 0.3469
Ni1 Ni 0.0000 0.0000 0.3986

# 9
# PBE-GGA Pm3SmAg4, optimized geometry
# energy of formation from the pure elements	-0.274	eV/atom
# theoretical density	8.2	g/cm³
data_Pm3SmAg4
_cell_length_a 3.726
_cell_length_b 3.726
_cell_length_c 14.902
_cell_angle_alpha 90.00
_cell_angle_beta 90.00
_cell_angle_gamma 90.00
_symmetry_space_group_name_H-M 'P 4/m m m'
_symmetry_Int_Tables_number 123
_symmetry_space_group_name_Hall '-P 4 2'
loop_
_atom_site_label
_atom_site_type_symbol
_atom_site_fract_x
_atom_site_fract_y
_atom_site_fract_z
Pm1 Pm 0.000 0.000 0.000
Pm2 Pm 0.000 0.000 0.251
Sm1 Sm 0.000 0.000 0.500
Ag1 Ag 0.500 0.500 0.125
Ag2 Ag 0.500 0.500 0.377

# 10
# PBE-GGA K3U3CrS8, optimized geometry
# E_form (uncorrected)	-1.247	eV/atom
# theoretical density	4.7	g/cm³
data_K3U3CrS8
_cell_length_a 13.649
_cell_length_b 7.837
_cell_length_c 8.803
_cell_angle_alpha 90.00
_cell_angle_beta 121.06
_cell_angle_gamma 90.00
_symmetry_space_group_name_H-M 'C 1 2/m 1'
_symmetry_Int_Tables_number 12
_symmetry_space_group_name_Hall '-C 2y'
loop_
_atom_site_label
_atom_site_type_symbol
_atom_site_fract_x
_atom_site_fract_y
_atom_site_fract_z
K1 K 0.000 0.000 0.000
K2 K 0.250 0.250 0.000
U1 U 0.000 0.500 0.500
U2 U 0.250 0.250 0.500
Cr1 Cr 0.000 0.000 0.500
S1 S 0.016 0.238 0.311
S2 S 0.224 0.000 0.690
S3 S 0.236 0.500 0.706

| no. | calculated total energy (hartree per atom) |
| --- | --- |
| 1 | -0.30513 |
| 2 | -0.22502 |
| 3 | -0.17404 |
| 4 | -0.25580 |
| 5 | -0.07843 |
| 6 | -0.16952 |
| 7 | -0.14497 |
| 8 | -0.25713 |
| 9 | -0.14962 |
| 10 | -0.24134 |